A geometry-optimized HgMoF5 structure, computed with GGA+U.

Lattice parameters (Å, degrees): 8.8560 9.7577 6.6498 90.00 121.42 90.00
Space group C2/c (No. 15)
One atom of each set of equivalent atoms:
Hg 0.0000 0.1268 0.2500 [4 per cell]
Mo 0.2500 0.2500 0.0000 [4 per cell]
F 0.0000 0.3281 0.7500 [4 per cell]
F 0.1359 0.0621 0.9993 [8 per cell]
F 0.1937 0.2881 0.2643 [8 per cell]

Calculated values
VASP energy (eV for the cell shown): -124.37